! Zn3Ni9GeP2, relaxed, DFT PBE; values from VASP
! Formation energy in kcal/mol of atoms: -1.0
! Volume in Å³ per cell: 228.2
! Size of the total moment in μB/cell: 0.0
&SYSTEM
  ibrav = 0, nat = 15, ntyp = 4
/
ATOMIC_SPECIES
Zn 65.41 Zn.upf
Ni 58.69 Ni.upf
Ge 72.64 Ge.upf
P 30.97 P.upf
ATOMIC_POSITIONS crystal
Zn 0.333 0.667 0.754
Zn 0.000 0.000 0.000
Zn 0.667 0.333 0.246
Ni 0.861 0.139 0.735
Ni 0.861 0.722 0.735
Ni 0.278 0.139 0.735
Ni 0.722 0.861 0.265
Ni 0.139 0.278 0.265
Ni 0.139 0.861 0.265
Ni 0.500 0.000 0.000
Ni 0.000 0.500 0.000
Ni 0.500 0.500 0.000
Ge 0.000 0.000 0.500
P 0.333 0.667 0.176
P 0.667 0.333 0.824
CELL_PARAMETERS angstrom
5.688 0.000 0.000
-2.844 4.926 0.000
0.000 0.000 8.147